A geometry-optimized TlCoAs2 structure. Source: the Alexandria database, functional PBE.

Geometry as POSCAR:
```
TlCoAs2
1.0
3.729 0.000 0.000
-1.865 3.230 0.000
0.000 0.000 20.488
Tl Co As
3 3 6
Direct
0.000 0.000 0.000 Tl
0.333 0.667 0.667 Tl
0.667 0.333 0.333 Tl
0.000 0.000 0.500 Co
0.333 0.667 0.167 Co
0.667 0.333 0.833 Co
0.000 0.000 0.217 As
0.000 0.000 0.783 As
0.333 0.667 0.450 As
0.333 0.667 0.884 As
0.667 0.333 0.116 As
0.667 0.333 0.550 As
```

Calculated values
crystal system: trigonal
E above lowest polymorph: 0.0 meV/atom
energy relative to the elements: -0.053 eV/atom